No. 1
Below is crystalline Tb2Nd6Sm3Ho at its relaxed geometry, with properties calculated at the GGA-PBE level.

Lattice parameters (Å, degrees): 6.3082 6.3082 11.9944 95.02 95.02 120.00
Last column: nearest neighbours and their distance in Å.
Sites, in units of the cell vectors:
Tb: 0.1667 0.8333 0.0000  6 Nd 3.60-3.61, 3 Tb 3.64, 3 Ho 3.64
Tb: 0.8333 0.1667 0.0000  6 Nd 3.60-3.61, 3 Tb 3.64, 3 Ho 3.64
Nd: 0.0837 0.4168 0.7524  2 Tb 3.60, 1 Ho 3.60, 6 Nd 3.64, 3 Sm 3.65
Nd: 0.2501 0.2501 0.2478  1 Ho 3.60, 2 Tb 3.61, 6 Nd 3.64, 3 Sm 3.64-3.65
Nd: 0.4168 0.0837 0.7524  2 Tb 3.60, 1 Ho 3.60, 6 Nd 3.64, 3 Sm 3.65
Nd: 0.5832 0.9163 0.2476  2 Tb 3.60, 1 Ho 3.60, 6 Nd 3.64, 3 Sm 3.65
Nd: 0.7499 0.7499 0.7522  1 Ho 3.60, 2 Tb 3.61, 6 Nd 3.64, 3 Sm 3.64-3.65
Nd: 0.9163 0.5832 0.2476  2 Tb 3.60, 1 Ho 3.60, 6 Nd 3.64, 3 Sm 3.65
Sm: 0.0000 0.0000 0.5000  6 Sm 3.64, 6 Nd 3.65
Sm: 0.3333 0.6667 0.5000  6 Sm 3.64, 6 Nd 3.64-3.65
Sm: 0.6667 0.3333 0.5000  6 Sm 3.64, 6 Nd 3.64-3.65
Ho: 0.5000 0.5000 0.0000  6 Nd 3.60, 6 Tb 3.64

Values from the calculation:
M_tot in μB per formula unit: 0.00
E_form in eV/atom: 0.012
DOS(E_F) in states/eV/cell: 15.58

***

No. 2
Below is crystalline Cd2AgBr at its relaxed geometry, with properties calculated at the GGA-PBE level.

Lattice parameters (Å, degrees): 3.8650 5.8355 8.6655 90.00 90.00 90.00
Last column: nearest neighbours and their distance in Å.
Sites, in units of the cell vectors:
Cd: 0.0000 0.0000 0.0000  2 Ag 2.81, 2 Cd 2.99
Cd: 0.0000 0.5000 0.2627  2 Br 2.93, 2 Cd 2.99
Cd: 0.5000 0.0000 0.2627  2 Br 2.93, 2 Cd 2.99
Cd: 0.5000 0.5000 0.0000  2 Ag 2.81, 2 Cd 2.99
Ag: 0.0000 0.5000 0.7640  2 Cd 2.81, 2 Br 2.89
Ag: 0.5000 0.0000 0.7640  2 Cd 2.81, 2 Br 2.89
Br: 0.0000 0.0000 0.5162  2 Ag 2.89, 2 Cd 2.93
Br: 0.5000 0.5000 0.5162  2 Ag 2.89, 2 Cd 2.93

Values from the calculation:
M_tot in μB per formula unit: 0.00
DOS(E_F) in states/eV/cell: 2.08
Energy relative to the lowest polymorph listed for this composition in eV/atom: 0.1205

***

No. 3
Below is crystalline Ca3WN at its relaxed geometry, with properties calculated at the GGA-PBE level.

Lattice parameters (Å, degrees): 4.8895 4.8895 4.8895 90.00 90.00 90.00
Last column: nearest neighbours and their distance in Å.
Sites, in units of the cell vectors:
Ca: 0.0000 0.0000 0.5000  2 N 2.44
Ca: 0.0000 0.5000 0.0000  2 N 2.44
Ca: 0.5000 0.0000 0.0000  2 N 2.44
W: 0.5000 0.5000 0.5000  12 Ca 3.46
N: 0.0000 0.0000 0.0000  6 Ca 2.44

Values from the calculation:
M_tot in μB per formula unit: 3.89
DOS(E_F) in states/eV/cell: 3.52
Energy relative to the lowest polymorph listed for this composition in eV/atom: 0.0000

***

No. 4
Below is crystalline TbPIr at its relaxed geometry, with properties calculated at the GGA-PBE level.

Lattice parameters (Å, degrees): 10.1693 4.1486 7.0121 90.00 131.10 90.00
Last column: nearest neighbours and their distance in Å.
Sites, in units of the cell vectors:
Tb: 0.0528 0.0000 0.2996  4 P 2.96-3.13, 6 Ir 3.00-3.15
Tb: 0.4472 0.5000 0.7004  4 P 2.96-3.13, 6 Ir 3.00-3.15
Tb: 0.5528 0.5000 0.2996  4 P 2.96-3.13, 6 Ir 3.00-3.15
Tb: 0.9472 0.0000 0.7004  4 P 2.96-3.13, 6 Ir 3.00-3.15
P: 0.1801 0.5000 0.7625  3 Ir 2.34-2.59
P: 0.3199 0.0000 0.2375  3 Ir 2.34-2.59
P: 0.6801 0.0000 0.7625  3 Ir 2.34-2.59
P: 0.8199 0.5000 0.2375  3 Ir 2.34-2.59
Ir: 0.1802 0.5000 0.1326  3 P 2.34-2.59
Ir: 0.3198 0.0000 0.8674  3 P 2.34-2.59
Ir: 0.6802 0.0000 0.1326  3 P 2.34-2.59
Ir: 0.8198 0.5000 0.8674  3 P 2.34-2.59

Values from the calculation:
M_tot in μB per formula unit: 0.00
E_form in eV/atom: -1.029
DOS(E_F) in states/eV/cell: 5.41

***

No. 5
Below is crystalline LaThPtAu at its relaxed geometry, with properties calculated at the GGA-PBE level.

Lattice parameters (Å, degrees): 4.5236 3.9548 11.7405 90.00 90.00 90.00
Last column: nearest neighbours and their distance in Å.
Sites, in units of the cell vectors:
La: 0.0000 0.0000 0.0000  1 Pt 3.03, 4 Au 3.09
La: 0.0000 0.5000 0.5000  1 Pt 3.03, 4 Au 3.09
Th: 0.5000 0.0000 0.2731  4 Pt 3.03, 3 Au 3.19-3.37
Th: 0.5000 0.5000 0.7731  4 Pt 3.03, 3 Au 3.19-3.37
Pt: 0.0000 0.0000 0.7420  4 Th 3.03, 1 La 3.03, 2 Au 3.11
Pt: 0.0000 0.5000 0.2420  4 Th 3.03, 1 La 3.03, 2 Au 3.11
Au: 0.5000 0.0000 0.5598  4 La 3.09, 2 Pt 3.11, 3 Th 3.19-3.37
Au: 0.5000 0.5000 0.0598  4 La 3.09, 2 Pt 3.11, 3 Th 3.19-3.37

Values from the calculation:
M_tot in μB per formula unit: 0.00
E_form in eV/atom: -0.973
DOS(E_F) in states/eV/cell: 4.72
Energy relative to the lowest polymorph listed for this composition in eV/atom: 0.0000

***

No. 6
Below is crystalline Rb3Y3ErSe8 at its relaxed geometry, with properties calculated at the GGA-PBE level.

Lattice parameters (Å, degrees): 9.5003 9.5003 9.5003 51.98 51.98 51.98
Last column: nearest neighbours and their distance in Å.
Sites, in units of the cell vectors:
Rb: 0.0000 0.5000 0.5000  6 Se 3.46-3.48
Rb: 0.5000 0.0000 0.5000  6 Se 3.46-3.48
Rb: 0.5000 0.5000 0.0000  6 Se 3.46-3.48
Y: 0.0000 0.0000 0.5000  6 Se 2.88-2.89
Y: 0.0000 0.5000 0.0000  6 Se 2.88-2.89
Y: 0.5000 0.0000 0.0000  6 Se 2.88-2.89
Er: 0.5000 0.5000 0.5000  6 Se 2.87
Se: 0.2321 0.2321 0.2321  3 Y 2.89
Se: 0.2327 0.7301 0.7301  1 Er 2.87, 2 Y 2.88
Se: 0.2699 0.2699 0.7673  1 Er 2.87, 2 Y 2.88
Se: 0.2699 0.7673 0.2699  1 Er 2.87, 2 Y 2.88
Se: 0.7301 0.2327 0.7301  1 Er 2.87, 2 Y 2.88
Se: 0.7301 0.7301 0.2327  1 Er 2.87, 2 Y 2.88
Se: 0.7673 0.2699 0.2699  1 Er 2.87, 2 Y 2.88
Se: 0.7679 0.7679 0.7679  3 Y 2.89

Values from the calculation:
M_tot in μB per formula unit: 0.00
Calculated total energy in eV/cell: -79.85
DOS(E_F) in states/eV/cell: 9.12

***

No. 7
Below is crystalline TaCu2Sb at its relaxed geometry, with properties calculated at the GGA-PBE level.

Lattice parameters (Å, degrees): 7.1717 7.1717 5.4502 90.00 90.00 90.00
Last column: nearest neighbours and their distance in Å.
Sites, in units of the cell vectors:
Ta: 0.0000 0.0000 0.0000  4 Cu 2.65, 2 Sb 2.73
Ta: 0.0000 0.5000 0.2500  4 Cu 2.65, 2 Sb 2.73
Ta: 0.5000 0.0000 0.7500  4 Cu 2.65, 2 Sb 2.73
Ta: 0.5000 0.5000 0.5000  4 Cu 2.65, 2 Sb 2.73
Cu: 0.2457 0.2500 0.6250  2 Sb 2.60, 2 Ta 2.65, 2 Cu 2.73
Cu: 0.2500 0.7457 0.8750  2 Sb 2.60, 2 Ta 2.65, 2 Cu 2.73
Cu: 0.2500 0.7543 0.3750  2 Sb 2.60, 2 Ta 2.65, 2 Cu 2.73
Cu: 0.2543 0.2500 0.1250  2 Sb 2.60, 2 Ta 2.65, 2 Cu 2.73
Cu: 0.7457 0.7500 0.1250  2 Sb 2.60, 2 Ta 2.65, 2 Cu 2.73
Cu: 0.7500 0.2457 0.3750  2 Sb 2.60, 2 Ta 2.65, 2 Cu 2.73
Cu: 0.7500 0.2543 0.8750  2 Sb 2.60, 2 Ta 2.65, 2 Cu 2.73
Cu: 0.7543 0.7500 0.6250  2 Sb 2.60, 2 Ta 2.65, 2 Cu 2.73
Sb: 0.0000 0.0000 0.5000  4 Cu 2.60, 2 Ta 2.73
Sb: 0.0000 0.5000 0.7500  4 Cu 2.60, 2 Ta 2.73
Sb: 0.5000 0.0000 0.2500  4 Cu 2.60, 2 Ta 2.73
Sb: 0.5000 0.5000 0.0000  4 Cu 2.60, 2 Ta 2.73

Values from the calculation:
M_tot in μB per formula unit: 0.00
Calculated total energy in eV/cell: -90.26
DOS(E_F) in states/eV/cell: 3.57

***

No. 8
Below is crystalline Sm2MgScO at its relaxed geometry, with properties calculated at the GGA-PBE level.

Lattice parameters (Å, degrees): 5.0930 5.0930 4.2941 90.00 90.00 90.00
Last column: nearest neighbours and their distance in Å.
Sites, in units of the cell vectors:
Sm: 0.0000 0.5000 0.0000  2 O 2.55
Sm: 0.5000 0.0000 0.0000  2 O 2.55
Mg: 0.0000 0.0000 0.5000  8 Sm 3.33, 4 Sc 3.60
Sc: 0.5000 0.5000 0.5000  2 O 2.15
O: 0.5000 0.5000 0.0000  2 Sc 2.15

Values from the calculation:
M_tot in μB per formula unit: 0.00
Calculated total energy in eV/cell: -28.35
DOS(E_F) in states/eV/cell: 4.71

***

No. 9
Below is crystalline AlBH2 at its relaxed geometry, with properties calculated at the GGA-PBE level.

Lattice parameters (Å, degrees): 3.9613 3.9828 5.3240 102.11 101.79 99.43
Last column: nearest neighbours and their distance in Å.
Sites, in units of the cell vectors:
Al: 0.0000 0.0000 0.0000  2 H 1.80-1.85
Al: 0.1845 0.2993 0.6416  2 H 1.72-1.77
B: 0.5498 0.2914 0.0127  2 H 1.22-1.24
B: 0.7652 0.4603 0.7891  1 H 1.29
H: 0.1251 0.9984 0.3448  2 Al 1.72-1.80
H: 0.5572 0.0018 0.0634  1 B 1.24
H: 0.5565 0.4999 0.2178  1 B 1.22
H: 0.5737 0.5282 0.5874  1 B 1.29

Values from the calculation:
M_tot in μB per formula unit: 0.00
Energy relative to the lowest polymorph listed for this composition in eV/atom: 0.0388